# 1
A plane-wave DFT calculation with GGA-PBE was carried out for a geometry-optimized Na2LaHfP structure.

```
Na2LaHfP
1.0
5.607 0.000 0.000
0.000 5.607 0.000
0.000 0.000 5.503
Na La Hf P
2 1 1 1
direct
0.000 0.500 0.000
0.500 0.000 0.000
0.000 0.000 0.500
0.000 0.000 0.000
0.500 0.500 0.500
```

Calculated values
- formation energy from the elements (eV/atom) = 1.251
- final energy (eV/f.u.) = -16.7
- density of states at the Fermi level (states/eV/atom) = 1.03

# 2
A plane-wave DFT calculation with GGA-PBE was carried out for a geometry-optimized NaLa2HfSi structure.

```
NaLa2HfSi
1.0
5.603 0.000 0.000
0.000 5.603 0.000
0.000 0.000 5.439
Na La Hf Si
1 2 1 1
direct
0.000 0.000 0.000
0.000 0.500 0.500
0.500 0.000 0.500
0.000 0.000 0.500
0.500 0.500 0.000
```

Calculated values
- final energy (eV/f.u.) = -21.6
- density of states at the Fermi level (states/eV/atom) = 1.20
- formation energy from raw total energies (meV/atom) = 997.5